CoSbTe2Se | PBE | optimized geometry

Unit cell a=5.0220 b=5.0220 c=4.9119 alpha=90.00 beta=90.00 gamma=90.00
With the nearest neighbours (Å) after each atom.
Atoms (fractional coordinates):
Co  0.0000  0.0000  0.0000  2 Sb 2.46, 4 Te 2.51
Se  0.5000  0.5000  0.5000  8 Te 3.51, 4 Sb 3.55
Sb  0.0000  0.0000  0.5000  2 Co 2.46
Te  0.0000  0.5000  0.0000  2 Co 2.51
Te  0.5000  0.0000  0.0000  2 Co 2.51

Output
- relative energy among the computed polymorphs (eV/atom) = 0.000
- space group = P4/mmm
- energy relative to the elements, uncorrected (eV/f.u.) = 1.95
- total energy (eV/cell) = -19.0
- volume (Å³/atom) = 24.78
- DOS at the Fermi energy (states/eV/atom) = 1.2887

---

FeB3Pb | PBE | optimized geometry

Unit cell a=3.9979 b=3.9979 c=3.9979 alpha=90.00 beta=90.00 gamma=90.00
With the nearest neighbours (Å) after each atom.
Atoms (fractional coordinates):
B  0.0000  0.5000  0.0000  2 Fe 2.00
B  0.5000  0.0000  0.0000  2 Fe 2.00
B  0.0000  0.0000  0.5000  2 Fe 2.00
Pb  0.5000  0.5000  0.5000  12 B 2.83
Fe  0.0000  0.0000  0.0000  6 B 2.00

Output
- relative energy among the computed polymorphs (eV/atom) = 0.000
- space group = Pm-3m
- total energy (eV/cell) = -27.3
- volume (Å³/atom) = 12.78
- energy relative to the elements (kJ/mol of formula units) = 473
- DOS at the Fermi energy (states/eV/atom) = 1.1299

---

CaLuIrAu | PBE | optimized geometry

Unit cell a=4.9017 b=4.9017 c=4.9017 alpha=60.00 beta=60.00 gamma=60.00
With the nearest neighbours (Å) after each atom.
Atoms (fractional coordinates):
Ca  0.0000  0.0000  0.0000  4 Ir 3.00, 4 Au 3.00
Ir  0.7500  0.7500  0.7500  4 Ca 3.00, 4 Lu 3.00
Lu  0.5000  0.5000  0.5000  4 Au 3.00, 4 Ir 3.00
Au  0.2500  0.2500  0.2500  4 Ca 3.00, 4 Lu 3.00

Output
- space group = F-43m
- total energy (eV/cell) = -21.4
- volume (Å³/atom) = 20.82
- energy relative to the elements (kJ/mol of formula units) = -262
- DOS at the Fermi energy (states/eV/atom) = 0.7658

---

K3ZnO2 | PBE | optimized geometry

Unit cell a=6.3428 b=6.3428 c=6.9149 alpha=90.00 beta=90.00 gamma=99.13
With the nearest neighbours (Å) after each atom.
Atoms (fractional coordinates):
K  0.3016  0.6984  0.5000  3 O 2.74-2.91
K  0.6984  0.3016  0.0000  3 O 2.74-2.91
K  0.7698  0.7698  0.7500  2 O 2.56
K  0.3016  0.6984  0.0000  3 O 2.74-2.91
K  0.6984  0.3016  0.5000  3 O 2.74-2.91
K  0.2302  0.2302  0.2500  2 O 2.56
Zn  0.1518  0.1518  0.7500  3 O 1.93-2.13
Zn  0.8482  0.8482  0.2500  3 O 1.93-2.13
O  0.0000  0.0000  0.0000  2 Zn 2.13
O  0.0000  0.0000  0.5000  2 Zn 2.13
O  0.6134  0.6134  0.2500  1 Zn 1.93
O  0.3866  0.3866  0.7500  1 Zn 1.93

Output
- relative energy among the computed polymorphs (eV/atom) = 0.096
- space group = Cmcm
- energy relative to the elements, uncorrected (eV/f.u.) = -5.52
- total energy (eV/cell) = -40.0
- volume (Å³/atom) = 22.89
- DOS at the Fermi energy (states/eV/atom) = 0.1962

---

LaHgSe2N | PBE | optimized geometry

Unit cell a=6.0195 b=6.0195 c=4.2734 alpha=90.00 beta=90.00 gamma=90.00
With the nearest neighbours (Å) after each atom.
Atoms (fractional coordinates):
N  0.0000  0.0000  0.5000  2 La 2.14
Hg  0.5000  0.5000  0.5000  8 Se 3.69
Se  0.0000  0.5000  0.0000  2 La 3.01
Se  0.5000  0.0000  0.0000  2 La 3.01
La  0.0000  0.0000  0.0000  2 N 2.14

Output
- relative energy among the computed polymorphs (eV/atom) = 0.129
- space group = P4/mmm
- energy relative to the elements, uncorrected (eV/f.u.) = 1.02
- total energy (eV/cell) = -19.5
- volume (Å³/atom) = 30.97
- DOS at the Fermi energy (states/eV/atom) = 1.0412

---

MgCu2Sn2Pd5 | PBE | optimized geometry

Unit cell a=3.9689 b=9.1702 c=9.1702 alpha=90.00 beta=90.00 gamma=90.00
With the nearest neighbours (Å) after each atom.
Atoms (fractional coordinates):
Pd  0.5000  0.0000  0.5000  4 Cu 2.57
Pd  0.5000  0.5976  0.6892  2 Cu 2.62, 3 Pd 2.76, 2 Mg 2.78, 2 Sn 2.93
Pd  0.5000  0.0976  0.8108  2 Cu 2.62, 3 Pd 2.76, 2 Mg 2.78, 2 Sn 2.93
Pd  0.5000  0.5000  0.0000  4 Cu 2.57
Pd  0.5000  0.4024  0.3108  2 Cu 2.62, 3 Pd 2.76, 2 Mg 2.78, 2 Sn 2.93
Pd  0.5000  0.9024  0.1892  2 Cu 2.62, 3 Pd 2.76, 2 Mg 2.78, 2 Sn 2.93
Pd  0.5000  0.8108  0.9024  2 Cu 2.62, 3 Pd 2.76, 2 Mg 2.78, 2 Sn 2.93
Pd  0.5000  0.3108  0.5976  2 Cu 2.62, 3 Pd 2.76, 2 Mg 2.78, 2 Sn 2.93
Pd  0.5000  0.6892  0.4024  2 Cu 2.62, 3 Pd 2.76, 2 Mg 2.78, 2 Sn 2.93
Pd  0.5000  0.1892  0.0976  2 Cu 2.62, 3 Pd 2.76, 2 Mg 2.78, 2 Sn 2.93
Cu  0.0000  0.3744  0.1256  6 Pd 2.57-2.62, 3 Sn 2.67-2.73
Cu  0.0000  0.8744  0.3744  6 Pd 2.57-2.62, 3 Sn 2.67-2.73
Cu  0.0000  0.6256  0.8744  6 Pd 2.57-2.62, 3 Sn 2.67-2.73
Cu  0.0000  0.1256  0.6256  6 Pd 2.57-2.62, 3 Sn 2.67-2.73
Mg  0.0000  0.0000  0.0000  8 Pd 2.78
Mg  0.0000  0.5000  0.5000  8 Pd 2.78
Sn  0.0000  0.6688  0.1688  3 Cu 2.67-2.73, 6 Pd 2.93-2.95
Sn  0.0000  0.8312  0.6688  3 Cu 2.67-2.73, 6 Pd 2.93-2.95
Sn  0.0000  0.1688  0.3312  3 Cu 2.67-2.73, 6 Pd 2.93-2.95
Sn  0.0000  0.3312  0.8312  3 Cu 2.67-2.73, 6 Pd 2.93-2.95

Output
- space group = P4/mbm
- total energy (eV/cell) = -94.0
- volume (Å³/atom) = 16.69
- energy relative to the elements (kJ/mol of formula units) = -311
- DOS at the Fermi energy (states/eV/atom) = 0.4127